[1]
Material: K2YGaN
Method: DFT, GGA-PBE
State: relaxed

Summary:
final energy: -16.92 eV/cell
ΔE_f (raw): 3.09 eV/f.u.
mass density: 2.3 g/cm³
total moment: 1.38 μB/cell

Unit cell a=7.0320 b=7.0320 c=3.6365 alpha=90.00 beta=90.00 gamma=90.00
Space group P4/mmm (No. 123)
One atom of each set of equivalent atoms:
K1 0.0000 0.5000 0.0000 x2
Y1 0.0000 0.0000 0.5000 x1
Ga1 0.5000 0.5000 0.5000 x1
N1 0.5000 0.5000 0.0000 x1

[2]
Material: KNa3Ga
Method: DFT, GGA-PBE
State: relaxed

Summary:
final energy: -5.10 eV/cell
energy of formation: 0.597 eV per atom
mass density: 1.2 g/cm³
total moment: 0.00 μB/cell
energy relative to the lowest polymorph listed for this composition: 581 meV per atom

Unit cell a=6.2667 b=6.2667 c=6.2667 alpha=90.00 beta=90.00 gamma=90.00
Space group Pm-3m (No. 221)
One atom of each set of equivalent atoms:
K1 0.0000 0.0000 0.0000 x1
Na1 0.0000 0.0000 0.5000 x3
Ga1 0.5000 0.5000 0.5000 x1

[3]
Material: KNa2Ga2
Method: DFT, GGA-PBE
State: relaxed

Summary:
final energy: -20.00 eV/cell
energy of formation: -0.042 eV per atom
mass density: 2.2 g/cm³
total moment: 0.00 μB/cell
energy relative to the lowest polymorph listed for this composition: 0 meV per atom

Unit cell a=12.8690 b=4.4958 c=5.9876 alpha=90.00 beta=103.03 gamma=90.00
Space group C2/m (No. 12)
One atom of each set of equivalent atoms:
K1 0.0000 0.0000 0.0000 x2
Na1 0.1582 0.5000 0.5578 x4
Ga1 0.2353 0.5000 0.0838 x4

[4]
Material: K2Na2Ga
Method: DFT, GGA-PBE
State: relaxed

Summary:
final energy: -13.29 eV/cell
energy of formation: 0.243 eV per atom
mass density: 1.4 g/cm³
total moment: 0.00 μB/cell
energy relative to the lowest polymorph listed for this composition: 134 meV per atom

Unit cell a=9.1511 b=9.1511 c=5.4276 alpha=90.00 beta=90.00 gamma=90.00
Space group P4/mbm (No. 127)
One atom of each set of equivalent atoms:
K1 0.1495 0.3505 0.0000 x4
Na1 0.1681 0.6681 0.5000 x4
Ga1 0.0000 0.0000 0.0000 x2

[5]
Material: KNa2Ga2
Method: DFT, GGA-PBE
State: relaxed

Summary:
final energy: -19.15 eV/cell
energy of formation: 0.043 eV per atom
mass density: 2.3 g/cm³
total moment: 0.00 μB/cell
energy relative to the lowest polymorph listed for this composition: 85 meV per atom

Unit cell a=5.6338 b=5.6338 c=10.0012 alpha=90.00 beta=90.00 gamma=90.00
Space group I4/mmm (No. 139)
One atom of each set of equivalent atoms:
K1 0.0000 0.0000 0.0000 x2
Na1 0.0000 0.5000 0.2500 x4
Ga1 0.0000 0.0000 0.3781 x4

[6]
Material: K2Na2Ga
Method: DFT, GGA-PBE
State: relaxed

Summary:
final energy: -14.63 eV/cell
energy of formation: 0.109 eV per atom
mass density: 1.5 g/cm³
total moment: 0.00 μB/cell
energy relative to the lowest polymorph listed for this composition: 0 meV per atom

Unit cell a=8.1976 b=8.1976 c=6.2288 alpha=90.00 beta=90.00 gamma=90.00
Space group P4/mbm (No. 127)
One atom of each set of equivalent atoms:
K1 0.1857 0.3143 0.0000 x4
Na1 0.1523 0.6523 0.5000 x4
Ga1 0.0000 0.0000 0.5000 x2

[7]
Material: KNa2Ga2
Method: DFT, GGA-PBE
State: relaxed

Summary:
final energy: -19.30 eV/cell
energy of formation: 0.028 eV per atom
mass density: 2.6 g/cm³
total moment: 0.00 μB/cell
energy relative to the lowest polymorph listed for this composition: 70 meV per atom

Unit cell a=9.0462 b=9.0462 c=3.5136 alpha=90.00 beta=90.00 gamma=90.00
Space group P4/mbm (No. 127)
One atom of each set of equivalent atoms:
K1 0.0000 0.0000 0.0000 x2
Na1 0.1849 0.3151 0.5000 x4
Ga1 0.1012 0.6012 0.0000 x4

[8]
Material: KNa3Ga
Method: DFT, GGA-PBE
State: relaxed

Summary:
final energy: -64.05 eV/cell
energy of formation: 0.015 eV per atom
mass density: 1.6 g/cm³
total moment: 0.00 μB/cell
energy relative to the lowest polymorph listed for this composition: 0 meV per atom

Unit cell a=18.9687 b=10.7565 c=7.2404 alpha=90.00 beta=101.48 gamma=90.00
Space group C2/c (No. 15)
One atom of each set of equivalent atoms:
K1 0.0000 0.0033 0.2500 x4
K2 0.0000 0.3708 0.7500 x4
Na1 0.1685 0.5001 0.0869 x8
Na2 0.1779 0.1703 0.0909 x8
Na3 0.1791 0.1654 0.5858 x8
Ga1 0.0673 0.3095 0.2860 x8